# VSO2

A relaxed VSO2 crystal (GGA+U, Alexandria).

```
VSO2
1.0
0.000 4.122 4.122
4.122 0.000 4.122
4.122 4.122 0.000
V S O
2 2 4
Direct
0.125 0.125 0.125 V
0.875 0.875 0.875 V
0.375 0.375 0.375 S
0.625 0.625 0.625 S
0.000 0.000 0.000 O
0.000 0.000 0.500 O
0.000 0.500 0.000 O
0.500 0.000 0.000 O
```

Calculated values
E_tot, eV per atom: -6.140
SG: Fd-3m (227)
DOS(E_F), states/eV per cell: 4.2